PBE NaCu3ReTe4, relaxed; theoretical density = 6.1 g/cm3; V = 247.2 Å³/cell; space group = P-43m (215); final energy = -4.057 eV per atom
1.0
6.2764 0.0000 0.0000
0.0000 6.2764 0.0000
0.0000 0.0000 6.2764
Na Cu Re Te
1 3 1 4
Direct
0.0000 0.0000 0.0000 Na
0.0000 0.5000 0.5000 Cu
0.5000 0.0000 0.5000 Cu
0.5000 0.5000 0.0000 Cu
0.5000 0.5000 0.5000 Re
0.2623 0.2623 0.2623 Te
0.2623 0.7377 0.7377 Te
0.7377 0.2623 0.7377 Te
0.7377 0.7377 0.2623 Te

=====

PBE Na7Cu12S10, relaxed; theoretical density = 4.2 g/cm3; V = 989.0 Å³/cell; space group = P2/m (10); final energy = -3.838 eV per atom
1.0
16.0826 0.0000 0.0000
0.0000 3.7975 0.0000
-0.2799 0.0000 16.1934
Na Cu S
14 24 20
Direct
0.0000 0.0000 0.0000 Na
0.1050 0.5000 0.6962 Na
0.1847 0.5000 0.8959 Na
0.2196 0.0000 0.4060 Na
0.2978 0.0000 0.6069 Na
0.3025 0.5000 0.0860 Na
0.3811 0.5000 0.2923 Na
0.5000 0.0000 0.0000 Na
0.6189 0.5000 0.7077 Na
0.6975 0.5000 0.9140 Na
0.7022 0.0000 0.3931 Na
0.7804 0.0000 0.5940 Na
0.8153 0.5000 0.1041 Na
0.8950 0.5000 0.3038 Na
0.0098 0.0000 0.4199 Cu
0.0227 0.5000 0.1523 Cu
0.0529 0.0000 0.2670 Cu
0.0884 0.5000 0.4988 Cu
0.1505 0.0000 0.1340 Cu
0.1772 0.5000 0.2469 Cu
0.3130 0.0000 0.8061 Cu
0.3869 0.5000 0.8942 Cu
0.4130 0.5000 0.7238 Cu
0.4252 0.0000 0.4500 Cu
0.4540 0.5000 0.5667 Cu
0.4887 0.0000 0.8021 Cu
0.5113 0.0000 0.1979 Cu
0.5460 0.5000 0.4333 Cu
0.5748 0.0000 0.5500 Cu
0.5870 0.5000 0.2762 Cu
0.6131 0.5000 0.1058 Cu
0.6870 0.0000 0.1939 Cu
0.8228 0.5000 0.7531 Cu
0.8495 0.0000 0.8660 Cu
0.9116 0.5000 0.5012 Cu
0.9471 0.0000 0.7330 Cu
0.9773 0.5000 0.8477 Cu
0.9902 0.0000 0.5801 Cu
0.0571 0.0000 0.8251 S
0.0790 0.5000 0.3538 S
0.1257 0.5000 0.0579 S
0.1299 0.0000 0.5623 S
0.2581 0.0000 0.2325 S
0.2734 0.5000 0.7370 S
0.3246 0.0000 0.9482 S
0.3460 0.5000 0.4717 S
0.4721 0.5000 0.1353 S
0.4787 0.0000 0.6555 S
0.5213 0.0000 0.3445 S
0.5279 0.5000 0.8647 S
0.6540 0.5000 0.5283 S
0.6754 0.0000 0.0518 S
0.7266 0.5000 0.2630 S
0.7419 0.0000 0.7675 S
0.8701 0.0000 0.4377 S
0.8743 0.5000 0.9421 S
0.9210 0.5000 0.6462 S
0.9429 0.0000 0.1749 S

=====

PBE Na3Cu4S4, relaxed; theoretical density = 3.8 g/cm3; V = 391.2 Å³/cell; space group = Pbam (55); final energy = -3.836 eV per atom
1.0
7.2115 0.0000 0.0000
0.0000 14.5227 0.0000
0.0000 0.0000 3.7350
Na Cu S
6 8 8
Direct
0.0000 0.0000 0.0000 Na
0.0209 0.2368 0.5000 Na
0.4791 0.7368 0.5000 Na
0.5000 0.5000 0.0000 Na
0.5209 0.2632 0.5000 Na
0.9791 0.7632 0.5000 Na
0.0791 0.4114 0.0000 Cu
0.1705 0.5604 0.5000 Cu
0.3295 0.0604 0.5000 Cu
0.4209 0.9114 0.0000 Cu
0.5791 0.0886 0.0000 Cu
0.6705 0.9396 0.5000 Cu
0.8295 0.4396 0.5000 Cu
0.9209 0.5886 0.0000 Cu
0.2154 0.6513 0.0000 S
0.2432 0.9079 0.5000 S
0.2568 0.4079 0.5000 S
0.2846 0.1513 0.0000 S
0.7154 0.8487 0.0000 S
0.7432 0.5921 0.5000 S
0.7568 0.0921 0.5000 S
0.7846 0.3487 0.0000 S

=====

What is the V in the second record?
989.0 Å³/cell

=====

What is the V in the first record?
247.2 Å³/cell

=====

Number 1 is which compound?
NaCu3ReTe4

=====

Among the records above, which one has the highest theoretical density?
NaCu3ReTe4